{
  "formula": "Re2O5",
  "functional": "PBE-GGA",
  "state": "relaxed",
  "lattice": [[-1.6879, 3.9202, 2.6355], [-4.9811, -2.3441, 0.2966], [3.9339, -3.9257, 3.5850]],
  "species": ["O", "O", "Re", "O", "O", "O", "Re", "O", "Re", "O", "O", "Re", "O", "O"],
  "fractional_positions": [[0.1234, 0.7500, 0.0000], [0.2375, 0.1479, 0.3985], [0.4183, 0.8221, 0.3016], [0.6515, 0.0114, 0.2195], [0.8389, 0.3521, 0.6015], [0.4320, 0.4886, 0.7805], [0.8833, 0.3221, 0.3016], [0.8766, 0.2500, 0.0000], [0.1167, 0.6779, 0.6984], [0.5680, 0.5114, 0.2195], [0.1611, 0.6479, 0.3985], [0.5817, 0.1779, 0.6984], [0.7625, 0.8521, 0.6015], [0.3485, 0.9886, 0.7805]],
  "rho_g_cm3": 9.24,
  "dft_energy_ev_per_cell": -119.90,
  "raw_formation_energy_mev_per_atom": -1466.4,
  "sg": "C2/c (15)",
  "dos_at_fermi_per_ev_atom": 0.34
}